#a
Density functional theory data (PBE) for a geometry-optimized Fe2Cu2Pd7 structure.

The structure in CIF format:
```
data_Fe2Cu2Pd7
_chemical_formula_sum 'Fe2 Cu2 Pd7'
_space_group_name_H-M_alt 'P -1'
_space_group_IT_number 2
_cell_length_a 4.791
_cell_length_b 6.141
_cell_length_c 6.266
_cell_angle_alpha 92.90
_cell_angle_beta 108.35
_cell_angle_gamma 105.40
loop_
_space_group_symop_operation_xyz
'x,y,z'
'-x,-y,-z'
loop_
_atom_site_label
_atom_site_type_symbol
_atom_site_fract_x
_atom_site_fract_y
_atom_site_fract_z
Fe1 Fe 0.049 0.260 0.255
Cu1 Cu 0.003 0.830 0.173
Pd1 Pd 0.310 0.077 0.575
Pd2 Pd 0.313 0.571 0.078
Pd3 Pd 0.316 0.607 0.588
Pd4 Pd 0.500 0.000 0.000
```

Computed properties:
**Magnetization**: 8.27 μB per formula unit
**Calculated volume**: 15.2 Å³ per atom

***

#b
Density functional theory data (PBE) for a geometry-optimized Fe2Cu2Pd7 structure.

The structure in CIF format:
```
data_Fe2Cu2Pd7
_chemical_formula_sum 'Fe4 Cu4 Pd14'
_space_group_name_H-M_alt 'C 1 2/m 1'
_space_group_IT_number 12
_cell_length_a 6.634
_cell_length_b 7.467
_cell_length_c 6.631
_cell_angle_alpha 90.00
_cell_angle_beta 102.60
_cell_angle_gamma 90.00
loop_
_space_group_symop_operation_xyz
'x,y,z'
'-x,-y,-z'
'-x,y,-z'
'x,-y,z'
'x+1/2,y+1/2,z'
'-x+1/2,-y+1/2,-z'
'-x+1/2,y+1/2,-z'
'x+1/2,-y+1/2,z'
loop_
_atom_site_label
_atom_site_type_symbol
_atom_site_fract_x
_atom_site_fract_y
_atom_site_fract_z
Fe1 Fe 0.000 0.181 0.000
Cu1 Cu 0.100 0.000 0.351
Pd1 Pd 0.000 0.500 0.500
Pd2 Pd 0.159 0.500 0.914
Pd3 Pd 0.230 0.190 0.700
```

Computed properties:
**Magnetization**: 8.07 μB per formula unit
**Calculated volume**: 14.6 Å³ per atom

***

So which one is most stable? That would be #b, about 11.7 kJ/mol of atoms below the next structure.

***

#a
Density functional theory data (PBE) for a geometry-optimized FeCu3Pd6 structure.

The structure in CIF format:
```
data_FeCu3Pd6
_chemical_formula_sum 'Fe2 Cu6 Pd12'
_space_group_name_H-M_alt 'P 1 21/m 1'
_space_group_IT_number 11
_cell_length_a 9.881
_cell_length_b 2.724
_cell_length_c 10.992
_cell_angle_alpha 90.00
_cell_angle_beta 102.36
_cell_angle_gamma 90.00
loop_
_space_group_symop_operation_xyz
'x,y,z'
'-x,-y,-z'
'-x,y+1/2,-z'
'x,-y+1/2,z'
loop_
_atom_site_label
_atom_site_type_symbol
_atom_site_fract_x
_atom_site_fract_y
_atom_site_fract_z
Fe1 Fe 0.043 0.250 0.212
Cu1 Cu 0.077 0.250 0.587
Cu2 Cu 0.371 0.750 0.996
Cu3 Cu 0.419 0.250 0.399
Pd1 Pd 0.119 0.250 0.977
Pd2 Pd 0.180 0.750 0.413
Pd3 Pd 0.210 0.750 0.779
Pd4 Pd 0.264 0.750 0.194
Pd5 Pd 0.348 0.250 0.612
Pd6 Pd 0.494 0.750 0.815
```

Computed properties:
**Magnetization**: 4.18 μB per formula unit
**Calculated volume**: 14.4 Å³ per atom

***

#b
Density functional theory data (PBE) for a geometry-optimized FeCu3Pd6 structure.

The structure in CIF format:
```
data_FeCu3Pd6
_chemical_formula_sum 'Fe2 Cu6 Pd12'
_space_group_name_H-M_alt 'P 1 21/m 1'
_space_group_IT_number 11
_cell_length_a 7.240
_cell_length_b 4.444
_cell_length_c 9.535
_cell_angle_alpha 90.00
_cell_angle_beta 111.51
_cell_angle_gamma 90.00
loop_
_space_group_symop_operation_xyz
'x,y,z'
'-x,-y,-z'
'-x,y+1/2,-z'
'x,-y+1/2,z'
loop_
_atom_site_label
_atom_site_type_symbol
_atom_site_fract_x
_atom_site_fract_y
_atom_site_fract_z
Fe1 Fe 0.043 0.250 0.415
Cu1 Cu 0.233 0.250 0.028
Cu2 Cu 0.376 0.750 0.781
Cu3 Cu 0.451 0.250 0.628
Pd1 Pd 0.075 0.750 0.872
Pd2 Pd 0.146 0.250 0.709
Pd3 Pd 0.158 0.750 0.175
Pd4 Pd 0.253 0.750 0.490
Pd5 Pd 0.342 0.250 0.332
Pd6 Pd 0.468 0.750 0.077
```

Computed properties:
**Magnetization**: 4.38 μB per formula unit
**Calculated volume**: 14.3 Å³ per atom

***

So which one is most stable? That would be #b, about 4.7 kJ/mol of atoms below the next structure.

***

#a
Density functional theory data (PBE) for a geometry-optimized FeCuPd5 structure.

The structure in CIF format:
```
data_FeCuPd5
_chemical_formula_sum 'Fe4 Cu4 Pd20'
_space_group_name_H-M_alt 'C m c m'
_space_group_IT_number 63
_space_group_name_Hall '-C 2c 2'
_cell_length_a 7.085
_cell_length_b 5.651
_cell_length_c 10.758
_cell_angle_alpha 90.00
_cell_angle_beta 90.00
_cell_angle_gamma 90.00
loop_
_atom_site_label
_atom_site_type_symbol
_atom_site_fract_x
_atom_site_fract_y
_atom_site_fract_z
Fe1 Fe 0.000 0.000 0.000
Cu1 Cu 0.000 0.374 0.250
Pd1 Pd 0.000 0.056 0.750
Pd2 Pd 0.206 0.357 0.611
```

Computed properties:
**Magnetization**: 4.61 μB per formula unit
**Calculated volume**: 15.4 Å³ per atom

***

#b
Density functional theory data (PBE) for a geometry-optimized FeCuPd5 structure.

The structure in CIF format:
```
data_FeCuPd5
_chemical_formula_sum 'Fe4 Cu4 Pd20'
_space_group_name_H-M_alt 'C 1 2/c 1'
_space_group_IT_number 15
_cell_length_a 11.803
_cell_length_b 7.148
_cell_length_c 5.107
_cell_angle_alpha 90.00
_cell_angle_beta 101.46
_cell_angle_gamma 90.00
loop_
_space_group_symop_operation_xyz
'x,y,z'
'-x,-y,-z'
'-x,y,-z+1/2'
'x,-y,z+1/2'
'x+1/2,y+1/2,z'
'-x+1/2,-y+1/2,-z'
'-x+1/2,y+1/2,-z+1/2'
'x+1/2,-y+1/2,z+1/2'
loop_
_atom_site_label
_atom_site_type_symbol
_atom_site_fract_x
_atom_site_fract_y
_atom_site_fract_z
Fe1 Fe 0.250 0.250 0.000
Cu1 Cu 0.000 0.242 0.250
Pd1 Pd 0.000 0.124 0.750
Pd2 Pd 0.109 0.457 0.659
Pd3 Pd 0.186 0.093 0.508
```

Computed properties:
**Magnetization**: 4.43 μB per formula unit
**Calculated volume**: 15.1 Å³ per atom

***

So which one is most stable? That would be #b, about 3.3 kJ/mol of atoms below the next structure.

***

#a
Density functional theory data (PBE) for a geometry-optimized Fe2CuPd6 structure.

The structure in CIF format:
```
data_Fe2CuPd6
_chemical_formula_sum 'Fe8 Cu4 Pd24'
_space_group_name_H-M_alt 'F m m m'
_space_group_IT_number 69
_space_group_name_Hall '-F 2 2'
_cell_length_a 3.963
_cell_length_b 11.074
_cell_length_c 11.879
_cell_angle_alpha 90.00
_cell_angle_beta 90.00
_cell_angle_gamma 90.00
loop_
_atom_site_label
_atom_site_type_symbol
_atom_site_fract_x
_atom_site_fract_y
_atom_site_fract_z
Fe1 Fe 0.000 0.000 0.163
Cu1 Cu 0.000 0.000 0.500
Pd1 Pd 0.000 0.156 0.332
Pd2 Pd 0.000 0.159 0.000
```

Computed properties:
**Magnetization**: 8.06 μB per formula unit
**Calculated volume**: 14.5 Å³ per atom

***

#b
Density functional theory data (PBE) for a geometry-optimized Fe2CuPd6 structure.

The structure in CIF format:
```
data_Fe2CuPd6
_chemical_formula_sum 'Fe4 Cu2 Pd12'
_space_group_name_H-M_alt 'I m m m'
_space_group_IT_number 71
_space_group_name_Hall '-I 2 2'
_cell_length_a 2.740
_cell_length_b 7.268
_cell_length_c 13.634
_cell_angle_alpha 90.00
_cell_angle_beta 90.00
_cell_angle_gamma 90.00
loop_
_atom_site_label
_atom_site_type_symbol
_atom_site_fract_x
_atom_site_fract_y
_atom_site_fract_z
Fe1 Fe 0.000 0.000 0.166
Cu1 Cu 0.000 0.000 0.500
Pd1 Pd 0.000 0.187 0.000
Pd2 Pd 0.000 0.190 0.333
```

Computed properties:
**Magnetization**: 7.99 μB per formula unit
**Calculated volume**: 15.1 Å³ per atom

***

So which one is most stable? That would be #a, about 11.5 kJ/mol of atoms below the next structure.